(1)
AlHgSb2: relaxed, PBE.

ΔE_f (raw)	228.7	meV/atom
E above lowest polymorph	0.169	eV per atom

a = 6.5738 Å, b = 9.6329 Å, c = 3.2826 Å
α = 90.00°, β = 107.03°, γ = 90.00°
Space group C2/m (No. 12)
One atom of each set of equivalent atoms:
1 Al 0.0000 0.0000 0.0000 x2
2 Hg 0.0000 0.5000 0.0000 x2
3 Sb 0.2500 0.2500 0.5000 x4


(2)
Mn2CrSi: relaxed, PBE.

ΔE_f (raw)	-274.1	meV/atom

a = 2.8708 Å, b = 3.8338 Å, c = 7.9955 Å
α = 90.00°, β = 90.00°, γ = 90.00°
Space group Imm2 (No. 44)
One atom of each set of equivalent atoms:
1 Mn 0.0000 0.0000 0.0000 x2
2 Mn 0.0000 0.5000 0.2471 x2
3 Cr 0.0000 0.0000 0.5004 x2
4 Si 0.0000 0.5000 0.7472 x2


(3)
AlCrRh: relaxed, PBE.

DFT formation energy	-0.22	eV/atom

a = 2.7408 Å, b = 2.7408 Å, c = 12.4263 Å
α = 90.00°, β = 90.00°, γ = 120.00°
Space group P-6m2 (No. 187)
One atom of each set of equivalent atoms:
1 Al 0.0000 0.0000 0.1676 x2
2 Cr 0.0000 0.0000 0.5000 x1
3 Cr 0.6667 0.3333 0.0000 x1
4 Rh 0.6667 0.3333 0.3366 x2


(4)
LaCo2Hg: relaxed, PBE.

DFT formation energy	0.21	eV/atom

a = 4.4618 Å, b = 4.4618 Å, c = 3.5957 Å
α = 90.00°, β = 90.00°, γ = 90.00°
Space group P4/mmm (No. 123)
One atom of each set of equivalent atoms:
1 La 0.0000 0.0000 0.0000 x1
2 Co 0.0000 0.5000 0.5000 x2
3 Hg 0.5000 0.5000 0.0000 x1


(5)
Ac2PuGe4Pd3: relaxed, PBE.

DFT formation energy	-0.68	eV/atom

a = 4.4547 Å, b = 4.4547 Å, c = 11.4219 Å
α = 90.00°, β = 90.00°, γ = 90.00°
Space group P-4m2 (No. 115)
One atom of each set of equivalent atoms:
1 Ac 0.0000 0.5000 0.2308 x2
2 Pu 0.0000 0.0000 0.5000 x1
3 Ge 0.0000 0.0000 0.0000 x1
4 Ge 0.0000 0.5000 0.6625 x2
5 Ge 0.5000 0.5000 0.0000 x1
6 Pd 0.0000 0.5000 0.8855 x2
7 Pd 0.5000 0.5000 0.5000 x1


(6)
ErThSbN: relaxed, PBE.

ΔE_f (raw)	-1092.4	meV/atom

a = 4.4311 Å, b = 4.4311 Å, c = 9.7658 Å
α = 90.00°, β = 90.00°, γ = 90.00°
Space group P4/nmm (No. 129, origin choice 2)
One atom of each set of equivalent atoms:
1 Er 0.2500 0.7500 0.0000 x2
2 Th 0.2500 0.2500 0.3974 x2
3 Sb 0.2500 0.2500 0.7881 x2
4 N 0.2500 0.7500 0.5000 x2


(7)
CsHg2Sb2: relaxed, PBE.

ΔE_f (raw)	-8.4	meV/atom
E above lowest polymorph	0.194	eV per atom

a = 9.4213 Å, b = 9.4213 Å, c = 3.5196 Å
α = 90.00°, β = 90.00°, γ = 90.00°
Space group P4/mbm (No. 127)
One atom of each set of equivalent atoms:
1 Cs 0.0000 0.0000 0.0000 x2
2 Hg 0.1421 0.3579 0.0000 x4
3 Sb 0.1477 0.6477 0.5000 x4


(8)
U2Tl2AgTe6: relaxed, PBE.

ΔE_f (raw)	-436.7	meV/atom

a = 7.4211 Å, b = 13.1600 Å, c = 8.6407 Å
α = 90.00°, β = 106.29°, γ = 90.00°
Space group C2/m (No. 12)
One atom of each set of equivalent atoms:
1 U 0.0000 0.1654 0.0000 x4
2 Tl 0.0000 0.3356 0.5000 x4
3 Ag 0.0000 0.5000 0.0000 x2
4 Te 0.2323 0.0000 0.2052 x4
5 Te 0.2423 0.3257 0.2141 x8


(9)
Ac4Hg2Ru: relaxed, PBE.

DFT formation energy	-0.25	eV/atom
E above lowest polymorph	0.096	eV per atom

a = 5.6123 Å, b = 5.6123 Å, c = 16.4500 Å
α = 90.00°, β = 90.00°, γ = 90.00°
Space group I4/mmm (No. 139)
One atom of each set of equivalent atoms:
1 Ac 0.0000 0.0000 0.1815 x4
2 Ac 0.0000 0.5000 0.0000 x4
3 Hg 0.0000 0.0000 0.3777 x4
4 Ru 0.0000 0.0000 0.0000 x2


(10)
LiP2Pb: relaxed, PBE.

DFT formation energy	0.26	eV/atom

a = 4.1203 Å, b = 4.1203 Å, c = 9.3019 Å
α = 90.00°, β = 90.00°, γ = 90.00°
Space group I-4m2 (No. 119)
One atom of each set of equivalent atoms:
1 Li 0.0000 0.0000 0.0000 x2
2 P 0.0000 0.0000 0.5000 x2
3 P 0.0000 0.5000 0.7500 x2
4 Pb 0.0000 0.5000 0.2500 x2


(11)
Li2F3: relaxed, PBE.

ΔE_f (raw)	-2239.3	meV/atom
E above lowest polymorph	0.019	eV per atom

a = 5.1605 Å, b = 5.1605 Å, c = 13.0080 Å
α = 90.00°, β = 90.00°, γ = 120.00°
Space group R-3c (No. 167, hexagonal axes)
One atom of each set of equivalent atoms:
1 Li 0.0000 0.0000 0.1463 x12
2 F 0.0000 0.3153 0.2500 x18


(12)
Mg2AlPbC: relaxed, PBE.

DFT formation energy	0.48	eV/atom

a = 4.3446 Å, b = 4.3446 Å, c = 5.3065 Å
α = 90.00°, β = 90.00°, γ = 90.00°
Space group P4/mmm (No. 123)
One atom of each set of equivalent atoms:
1 Mg 0.0000 0.5000 0.0000 x2
2 Al 0.0000 0.0000 0.5000 x1
3 Pb 0.5000 0.5000 0.5000 x1
4 C 0.5000 0.5000 0.0000 x1


(13)
ReAgSb2: relaxed, PBE.

ΔE_f (raw)	564.0	meV/atom
E above lowest polymorph	0.243	eV per atom

a = 3.1565 Å, b = 3.1565 Å, c = 31.1302 Å
α = 90.00°, β = 90.00°, γ = 120.00°
Space group R3m (No. 160, hexagonal axes)
One atom of each set of equivalent atoms:
1 Re 0.0000 0.0000 0.0000 x3
2 Ag 0.0000 0.0000 0.7384 x3
3 Sb 0.0000 0.0000 0.2683 x3
4 Sb 0.0000 0.0000 0.4810 x3


(14)
InHI2: relaxed, PBE.

VASP energy	-2.16	eV per atom

a = 7.4643 Å, b = 7.4643 Å, c = 8.8742 Å
α = 90.00°, β = 90.00°, γ = 90.00°
Space group I-42d (No. 122)
One atom of each set of equivalent atoms:
1 In 0.0000 0.0000 0.0000 x4
2 H 0.0000 0.0000 0.5000 x4
3 I 0.1393 0.7500 0.6250 x8


(15)
LiTa2CuO6: relaxed, PBE.

ΔE_f (raw)	-2354.5	meV/atom

a = 5.2229 Å, b = 5.2229 Å, c = 14.1060 Å
α = 90.00°, β = 90.00°, γ = 120.00°
Space group R3 (No. 146, hexagonal axes)
One atom of each set of equivalent atoms:
1 Li 0.0000 0.0000 0.0000 x3
2 Ta 0.0000 0.0000 0.2160 x3
3 Ta 0.0000 0.0000 0.7106 x3
4 Cu 0.0000 0.0000 0.4590 x3
5 O 0.0442 0.7087 0.2886 x9
6 O 0.0584 0.3430 0.7855 x9


(16)
TlGaPb: relaxed, PBE.

DFT formation energy	0.04	eV/atom
E above lowest polymorph	0.003	eV per atom

a = 6.0819 Å, b = 3.5188 Å, c = 15.4796 Å
α = 90.00°, β = 90.52°, γ = 90.00°
Space group C2/m (No. 12)
One atom of each set of equivalent atoms:
1 Tl 0.1699 0.0000 0.0947 x4
2 Ga 0.1671 0.0000 0.4385 x4
3 Pb 0.0014 0.5000 0.2849 x4


(17)
SrPm2IrO8: relaxed, PBE.

ΔE_f (raw)	-2013.9	meV/atom

a = 5.1863 Å, b = 7.1594 Å, c = 5.1943 Å
α = 90.00°, β = 90.75°, γ = 90.00°
Space group P2/m (No. 10)
One atom of each set of equivalent atoms:
1 Sr 0.0000 0.0000 0.0000 x1
2 Pm 0.5000 0.2466 0.5000 x2
3 Ir 0.0000 0.5000 0.0000 x1
4 O 0.1836 0.3100 0.1812 x4
5 O 0.2563 0.5000 0.7410 x2
6 O 0.3172 0.0000 0.6794 x2


(18)
NaCaCu2Si: relaxed, PBE.

ΔE_f (raw)	137.9	meV/atom
E above lowest polymorph	0.000	eV per atom

a = 4.5498 Å, b = 4.5498 Å, c = 5.1314 Å
α = 90.00°, β = 90.00°, γ = 90.00°
Space group P4/mmm (No. 123)
One atom of each set of equivalent atoms:
1 Na 0.0000 0.0000 0.0000 x1
2 Ca 0.5000 0.5000 0.0000 x1
3 Cu 0.0000 0.5000 0.5000 x2
4 Si 0.0000 0.0000 0.5000 x1


(19)
Er5MgIr6: relaxed, PBE.

DFT formation energy	-0.79	eV/atom

a = 4.7855 Å, b = 6.6109 Å, c = 14.3461 Å
α = 90.00°, β = 90.00°, γ = 90.00°
Space group Immm (No. 71)
One atom of each set of equivalent atoms:
1 Er 0.0000 0.0000 0.0000 x2
2 Er 0.0000 0.0000 0.3387 x4
3 Er 0.0000 0.5000 0.3322 x4
4 Mg 0.0000 0.5000 0.0000 x2
5 Ir 0.0000 0.2502 0.5000 x4
6 Ir 0.0000 0.2507 0.1658 x8


(20)
MnIn2Au: relaxed, PBE.

DFT formation energy	0.06	eV/atom
E above lowest polymorph	0.029	eV per atom

a = 3.3083 Å, b = 3.3083 Å, c = 7.7132 Å
α = 90.00°, β = 90.00°, γ = 90.00°
Space group P4mm (No. 99)
One atom of each set of equivalent atoms:
1 Mn 0.0000 0.0000 0.0000 x1
2 In 0.0000 0.0000 0.4393 x1
3 In 0.5000 0.5000 0.7675 x1
4 Au 0.5000 0.5000 0.1882 x1


(21)
Eu2BiBr: relaxed, PBE.

ΔE_f (raw)	-1128.5	meV/atom
E above lowest polymorph	0.133	eV per atom

a = 5.7326 Å, b = 5.7326 Å, c = 3.8811 Å
α = 90.00°, β = 90.00°, γ = 90.00°
Space group P4/mmm (No. 123)
One atom of each set of equivalent atoms:
1 Eu 0.0000 0.5000 0.0000 x2
2 Bi 0.0000 0.0000 0.5000 x1
3 Br 0.5000 0.5000 0.5000 x1


(22)
TiGa2Ag2: relaxed, PBE.

DFT formation energy	0.05	eV/atom
E above lowest polymorph	0.011	eV per atom

a = 7.6500 Å, b = 7.6500 Å, c = 2.9715 Å
α = 90.00°, β = 90.00°, γ = 90.00°
Space group P4/mbm (No. 127)
One atom of each set of equivalent atoms:
1 Ti 0.0000 0.0000 0.0000 x2
2 Ga 0.1540 0.3460 0.0000 x4
3 Ag 0.1464 0.6464 0.5000 x4


(23)
Rb2AcBiO4: relaxed, PBE.

ΔE_f (raw)	-1903.9	meV/atom

a = 6.4852 Å, b = 3.7886 Å, c = 6.9860 Å
α = 90.00°, β = 108.11°, γ = 90.00°
Space group P2/m (No. 10)
One atom of each set of equivalent atoms:
1 Rb 0.0000 0.0000 0.0000 x1
2 Rb 0.5000 0.5000 0.0000 x1
3 Ac 0.0000 0.5000 0.5000 x1
4 Bi 0.5000 0.0000 0.5000 x1
5 O 0.2363 0.0000 0.6874 x2
6 O 0.2741 0.5000 0.3093 x2


(24)
Ca3Zn2Ag3: relaxed, PBE.

DFT formation energy	-0.31	eV/atom

a = 4.6005 Å, b = 10.8971 Å, c = 15.2199 Å
α = 90.00°, β = 90.00°, γ = 90.00°
Space group Cmcm (No. 63)
One atom of each set of equivalent atoms:
1 Ca 0.0000 0.0864 0.1054 x8
2 Ca 0.0000 0.3696 0.2500 x4
3 Zn 0.0000 0.2104 0.5981 x8
4 Ag 0.0000 0.3373 0.7500 x4
5 Ag 0.0000 0.3815 0.0407 x8


(25)
LiNd2Hg: relaxed, PBE.

DFT formation energy	-0.05	eV/atom
E above lowest polymorph	0.167	eV per atom

a = 3.6534 Å, b = 3.6534 Å, c = 31.3777 Å
α = 90.00°, β = 90.00°, γ = 120.00°
Space group R3m (No. 160, hexagonal axes)
One atom of each set of equivalent atoms:
1 Li 0.0000 0.0000 0.0000 x3
2 Nd 0.0000 0.0000 0.2461 x3
3 Nd 0.0000 0.0000 0.4212 x3
4 Hg 0.0000 0.0000 0.8338 x3